An optimized crystal structure of Ca2ZnPd6Pb, computed with PBE.

a = 6.922 Å, b = 6.922 Å, c = 6.922 Å
α = 60.00°, β = 60.00°, γ = 90.00°
Element x y z (fractional)
Ca (0.250, 0.750, 0.500)
Ca (0.750, 0.250, 0.500)
Zn (0.500, 0.500, 0.000)
Pd (0.261, 0.739, 0.000)
Pd (0.739, 0.739, 0.000)
Pd (0.261, 0.261, 0.478)
Pd (0.739, 0.261, 0.000)
Pd (0.261, 0.261, 0.000)
Pd (0.739, 0.739, 0.522)
Pb (0.000, 0.000, 0.000)

Output
D(E_F)	0.560	states/eV/atom
crystal system	cubic
formation energy	-84	meV/atom